1.
## Sr2TiRuS (PBE)

Data for crystalline Sr2TiRuS at its relaxed geometry.

Geometry as CIF:
```
data_Sr2TiRuS
_cell_length_a 6.004
_cell_length_b 4.343
_cell_length_c 6.004
_cell_angle_alpha 90.00
_cell_angle_beta 90.00
_cell_angle_gamma 90.00
_symmetry_space_group_name_H-M 'P 1'
_symmetry_Int_Tables_number 1
_symmetry_space_group_name_Hall 'P 1'
loop_
_atom_site_label
_atom_site_fract_x
_atom_site_fract_y
_atom_site_fract_z
Ru1 0.000 0.000 0.000
S1 0.000 0.500 0.000
Ti1 0.500 0.500 0.500
Sr1 0.000 0.000 0.500
Sr2 0.500 0.000 0.000
```

## Properties
Size of the total moment in μB/f.u.: 3.24
Formation energy (no corrections) in eV/f.u.: 1.519
DOS(E_F) in states/eV/atom: 2.425


2.
## Ac2TbGa12Co3 (PBE)

Data for crystalline Ac2TbGa12Co3 at its relaxed geometry.

Geometry as CIF:
```
data_Ac2TbGa12Co3
_cell_length_a 8.187
_cell_length_b 8.187
_cell_length_c 8.187
_cell_angle_alpha 63.64
_cell_angle_beta 63.64
_cell_angle_gamma 63.64
_symmetry_space_group_name_H-M 'P 1'
_symmetry_Int_Tables_number 1
_symmetry_space_group_name_Hall 'P 1'
loop_
_atom_site_label
_atom_site_fract_x
_atom_site_fract_y
_atom_site_fract_z
Ac1 0.590 0.590 0.590
Ac2 0.410 0.410 0.410
Tb1 0.000 0.000 0.000
Ga1 0.276 0.276 0.918
Ga2 0.848 0.848 0.454
Ga3 0.454 0.848 0.848
Ga4 0.918 0.276 0.276
Ga5 0.848 0.454 0.848
Ga6 0.276 0.918 0.276
Ga7 0.724 0.724 0.082
Ga8 0.152 0.152 0.546
Ga9 0.546 0.152 0.152
Ga10 0.082 0.724 0.724
Ga11 0.152 0.546 0.152
Ga12 0.724 0.082 0.724
Co1 0.500 0.000 0.000
Co2 0.000 0.500 0.000
Co3 0.000 0.000 0.500
```

## Properties
Size of the total moment in μB/f.u.: 0.00
DFT formation energy in eV/atom: -0.079
DOS(E_F) in states/eV/atom: 0.682


3.
## CaV3Cr (PBE)

Data for crystalline CaV3Cr at its relaxed geometry.

Geometry as CIF:
```
data_CaV3Cr
_cell_length_a 4.488
_cell_length_b 4.488
_cell_length_c 4.488
_cell_angle_alpha 90.00
_cell_angle_beta 90.00
_cell_angle_gamma 90.00
_symmetry_space_group_name_H-M 'P 1'
_symmetry_Int_Tables_number 1
_symmetry_space_group_name_Hall 'P 1'
loop_
_atom_site_label
_atom_site_fract_x
_atom_site_fract_y
_atom_site_fract_z
Cr1 0.000 0.000 0.000
Ca1 0.500 0.500 0.500
V1 0.000 0.500 0.000
V2 0.000 0.000 0.500
V3 0.500 0.000 0.000
```

## Properties
Size of the total moment in μB/f.u.: 0.00
DFT formation energy in eV/atom: 0.772
DOS(E_F) in states/eV/atom: 1.050


4.
## ScTa2W (PBE)

Data for crystalline ScTa2W at its relaxed geometry.

Geometry as CIF:
```
data_ScTa2W
_cell_length_a 2.900
_cell_length_b 2.900
_cell_length_c 9.543
_cell_angle_alpha 90.00
_cell_angle_beta 90.00
_cell_angle_gamma 111.37
_symmetry_space_group_name_H-M 'P 1'
_symmetry_Int_Tables_number 1
_symmetry_space_group_name_Hall 'P 1'
loop_
_atom_site_label
_atom_site_fract_x
_atom_site_fract_y
_atom_site_fract_z
Sc1 0.500 0.500 0.750
Ta1 0.000 0.000 0.021
Ta2 0.000 0.000 0.479
W1 0.500 0.500 0.250
```

## Properties
Size of the total moment in μB/f.u.: 0.00
DFT formation energy in eV/atom: 0.125
DOS(E_F) in states/eV/atom: 1.323


5.
## CdInFe2 (PBE)

Data for crystalline CdInFe2 at its relaxed geometry.

Geometry as CIF:
```
data_CdInFe2
_cell_length_a 9.188
_cell_length_b 9.188
_cell_length_c 9.188
_cell_angle_alpha 18.83
_cell_angle_beta 18.83
_cell_angle_gamma 18.83
_symmetry_space_group_name_H-M 'P 1'
_symmetry_Int_Tables_number 1
_symmetry_space_group_name_Hall 'P 1'
loop_
_atom_site_label
_atom_site_fract_x
_atom_site_fract_y
_atom_site_fract_z
Cd1 0.740 0.740 0.740
Fe1 0.989 0.989 0.989
Fe2 0.261 0.261 0.261
In1 0.511 0.511 0.511
```

## Properties
Size of the total moment in μB/f.u.: 5.29
DFT formation energy in eV/atom: 0.339
DOS(E_F) in states/eV/atom: 0.857


6.
## BeTe2Mo (PBE)

Data for crystalline BeTe2Mo at its relaxed geometry.

Geometry as CIF:
```
data_BeTe2Mo
_cell_length_a 5.660
_cell_length_b 5.660
_cell_length_c 5.660
_cell_angle_alpha 138.19
_cell_angle_beta 138.19
_cell_angle_gamma 60.62
_symmetry_space_group_name_H-M 'P 1'
_symmetry_Int_Tables_number 1
_symmetry_space_group_name_Hall 'P 1'
loop_
_atom_site_label
_atom_site_fract_x
_atom_site_fract_y
_atom_site_fract_z
Be1 0.500 0.500 0.000
Mo1 0.750 0.250 0.500
Te1 0.000 0.000 0.000
Te2 0.250 0.750 0.500
```

## Properties
Size of the total moment in μB/f.u.: 1.66
Formation energy (no corrections) in eV/f.u.: 3.363
DOS(E_F) in states/eV/atom: 0.738


7.
## AcPuCl6 (PBE)

Data for crystalline AcPuCl6 at its relaxed geometry.

Geometry as CIF:
```
data_AcPuCl6
_cell_length_a 6.950
_cell_length_b 6.949
_cell_length_c 7.765
_cell_angle_alpha 63.42
_cell_angle_beta 63.42
_cell_angle_gamma 60.00
_symmetry_space_group_name_H-M 'P 1'
_symmetry_Int_Tables_number 1
_symmetry_space_group_name_Hall 'P 1'
loop_
_atom_site_label
_atom_site_fract_x
_atom_site_fract_y
_atom_site_fract_z
Ac1 0.500 0.500 0.500
Pu1 0.000 0.000 0.000
Cl1 0.087 0.395 0.754
Cl2 0.764 0.087 0.755
Cl3 0.605 0.236 0.246
Cl4 0.236 0.913 0.245
Cl5 0.913 0.605 0.246
Cl6 0.395 0.764 0.754
```

## Properties
Size of the total moment in μB/f.u.: 5.00
Formation energy (no corrections) in eV/f.u.: -16.995
DOS(E_F) in states/eV/atom: 1.127


8.
## LaTe2As (PBE)

Data for crystalline LaTe2As at its relaxed geometry.

Geometry as CIF:
```
data_LaTe2As
_cell_length_a 5.426
_cell_length_b 5.426
_cell_length_c 5.426
_cell_angle_alpha 60.00
_cell_angle_beta 60.00
_cell_angle_gamma 60.00
_symmetry_space_group_name_H-M 'P 1'
_symmetry_Int_Tables_number 1
_symmetry_space_group_name_Hall 'P 1'
loop_
_atom_site_label
_atom_site_fract_x
_atom_site_fract_y
_atom_site_fract_z
As1 0.500 0.500 0.500
Te1 0.000 0.000 0.000
Te2 0.250 0.250 0.250
La1 0.750 0.750 0.750
```

## Properties
Size of the total moment in μB/f.u.: 0.00
Formation energy (no corrections) in eV/f.u.: -1.588
DOS(E_F) in states/eV/atom: 1.693


9.
## NaYTe2 (PBE)

Data for crystalline NaYTe2 at its relaxed geometry.

Geometry as CIF:
```
data_NaYTe2
_cell_length_a 5.271
_cell_length_b 5.271
_cell_length_c 6.072
_cell_angle_alpha 90.00
_cell_angle_beta 90.00
_cell_angle_gamma 120.00
_symmetry_space_group_name_H-M 'P 1'
_symmetry_Int_Tables_number 1
_symmetry_space_group_name_Hall 'P 1'
loop_
_atom_site_label
_atom_site_fract_x
_atom_site_fract_y
_atom_site_fract_z
Y1 0.333 0.667 0.364
Na1 0.000 0.000 0.864
Te1 0.333 0.667 0.864
Te2 0.667 0.333 0.363
```

## Properties
Size of the total moment in μB/f.u.: 0.00
Formation energy (no corrections) in eV/f.u.: -4.264
DOS(E_F) in states/eV/atom: 0.000


10.
## TbCeSe2 (PBE)

Data for crystalline TbCeSe2 at its relaxed geometry.

Geometry as CIF:
```
data_TbCeSe2
_cell_length_a 4.131
_cell_length_b 4.131
_cell_length_c 7.244
_cell_angle_alpha 73.43
_cell_angle_beta 73.43
_cell_angle_gamma 60.00
_symmetry_space_group_name_H-M 'P 1'
_symmetry_Int_Tables_number 1
_symmetry_space_group_name_Hall 'P 1'
loop_
_atom_site_label
_atom_site_fract_x
_atom_site_fract_y
_atom_site_fract_z
Tb1 0.000 0.000 0.000
Se1 0.253 0.253 0.240
Se2 0.747 0.747 0.760
Ce1 0.500 0.500 0.500
```

## Properties
Size of the total moment in μB/f.u.: 1.01
Formation energy (no corrections) in eV/f.u.: -7.234
Energy above the most stable polymorph in this dataset in meV/atom: 0
DOS(E_F) in states/eV/atom: 1.610


11.
## Ca2TiPdN (PBE)

Data for crystalline Ca2TiPdN at its relaxed geometry.

Geometry as CIF:
```
data_Ca2TiPdN
_cell_length_a 5.635
_cell_length_b 4.451
_cell_length_c 5.635
_cell_angle_alpha 90.00
_cell_angle_beta 90.00
_cell_angle_gamma 90.00
_symmetry_space_group_name_H-M 'P 1'
_symmetry_Int_Tables_number 1
_symmetry_space_group_name_Hall 'P 1'
loop_
_atom_site_label
_atom_site_fract_x
_atom_site_fract_y
_atom_site_fract_z
Ca1 0.000 0.000 0.500
Ca2 0.500 0.000 0.000
N1 0.500 0.500 0.500
Pd1 0.000 0.500 0.000
Ti1 0.000 0.000 0.000
```

## Properties
Size of the total moment in μB/f.u.: 2.32
Formation energy (no corrections) in eV/f.u.: 6.900
DOS(E_F) in states/eV/atom: 1.323


12.
## MgReN2O (PBE)

Data for crystalline MgReN2O at its relaxed geometry.

Geometry as CIF:
```
data_MgReN2O
_cell_length_a 3.910
_cell_length_b 3.910
_cell_length_c 3.849
_cell_angle_alpha 90.00
_cell_angle_beta 90.00
_cell_angle_gamma 90.00
_symmetry_space_group_name_H-M 'P 1'
_symmetry_Int_Tables_number 1
_symmetry_space_group_name_Hall 'P 1'
loop_
_atom_site_label
_atom_site_fract_x
_atom_site_fract_y
_atom_site_fract_z
Re1 0.000 0.000 0.000
Mg1 0.500 0.500 0.500
O1 0.000 0.000 0.500
N1 0.000 0.500 0.000
N2 0.500 0.000 0.000
```

## Properties
Size of the total moment in μB/f.u.: 0.00
Formation energy (no corrections) in eV/f.u.: -1.911
DOS(E_F) in states/eV/atom: 0.265